## SrLiBiAu (PBE)

Data for a relaxed SrLiBiAu crystal.

The structure belongs to space group F-43m (No. 216); the cell edges are 7.518, 7.518 and 7.518 Å and the angles 90.00°, 90.00° and 90.00°. The inequivalent atoms are Sr at (0.000, 0.000, 0.000), Li at (0.000, 0.000, 0.500), Bi at (0.250, 0.250, 0.750) and Au at (0.250, 0.250, 0.250).

For the total energy, the calculation gives -3.2180 eV per atom. As for the energy of formation from the pure elements: -529 meV/atom.

## Ca2PRh (PBE)

Data for a relaxed Ca2PRh crystal.

The structure belongs to space group F-43m (No. 216); the cell edges are 6.663, 6.663 and 6.663 Å and the angles 90.00°, 90.00° and 90.00°. The inequivalent atoms are Ca at (0.000, 0.000, 0.000), Ca at (0.250, 0.250, 0.250), P at (0.250, 0.250, 0.750) and Rh at (0.000, 0.000, 0.500).

For the total energy, the calculation gives -4.6362 eV per atom. As for the energy of formation from the pure elements: -445 meV/atom.

## PtBrCl (PBE)

Data for a relaxed PtBrCl crystal.

The structure belongs to space group P2_12_12_1 (No. 19); the cell edges are 4.728, 5.206 and 12.530 Å and the angles 90.00°, 90.00° and 90.00°. The inequivalent atoms are Pt at (0.001, 0.173, 0.377), Br at (0.249, 0.171, 0.781) and Cl at (0.244, 0.982, 0.025).

For the total energy, the calculation gives -3.4381 eV per atom. The raw formation energy is -0.251 eV per atom.

## AcInP2O8 (PBE)

Data for a relaxed AcInP2O8 crystal.

The structure belongs to space group P-3 (No. 147); the cell edges are 5.0967, 5.0967 and 7.4386 Å and the angles 90.00°, 90.00° and 120.00°. The inequivalent atoms are Ac at (0.0000, 0.0000, 0.0000), In at (0.0000, 0.0000, 0.5000), P at (0.3333, 0.6667, 0.7591), O at (0.0912, 0.3449, 0.6970) and O at (0.3333, 0.6667, 0.9673).

For the total energy, the calculation gives -7.2829 eV per atom. The raw formation energy is -2.505 eV per atom.